(1)
Material: SeN2F2
Method: DFT, GGA-PBEsol
State: optimized geometry

It has space group P4/mmm (No. 123), with a = 3.512 Å, b = 3.512 Å, c = 4.204 Å, α = 90.00°, β = 90.00° and γ = 90.00°. The asymmetric unit holds Se at (0.000, 0.000, 0.000), N at (0.000, 0.500, 0.500), F at (0.500, 0.500, 0.000) and F at (0.500, 0.500, 0.500).

The magnetization is 0.08 μB/f.u. The calculation puts the uncorrected formation energy at 9.0 eV per formula unit.


(2)
Material: Sr2BTePd
Method: DFT, GGA-PBEsol
State: optimized geometry

It has space group P4/mmm (No. 123), with a = 5.636 Å, b = 5.636 Å, c = 4.011 Å, α = 90.00°, β = 90.00° and γ = 90.00°. The asymmetric unit holds Sr at (0.000, 0.500, 0.000), B at (0.000, 0.000, 0.000), Te at (0.500, 0.500, 0.500) and Pd at (0.000, 0.000, 0.500).

The magnetization is 0.00 μB/f.u. The calculation puts the uncorrected formation energy at -3.0 eV per formula unit.


(3)
Material: AlMoIr2
Method: DFT, GGA-PBEsol
State: optimized geometry

It has space group I-4m2 (No. 119), with a = 3.770 Å, b = 3.770 Å, c = 8.027 Å, α = 90.00°, β = 90.00° and γ = 90.00°. The asymmetric unit holds Al at (0.000, 0.000, 0.000), Mo at (0.000, 0.500, 0.750), Ir at (0.000, 0.000, 0.500) and Ir at (0.000, 0.500, 0.250).

The magnetization is 0.00 μB/f.u. For the formation energy, the calculation gives -0.352 eV per atom. The calculation puts the distance to the lowest polymorph of the same formula at 276 meV per atom.


(4)
Material: La3OsS
Method: DFT, GGA-PBEsol
State: optimized geometry

It has space group Pm-3m (No. 221), with a = 5.271 Å, b = 5.271 Å, c = 5.271 Å, α = 90.00°, β = 90.00° and γ = 90.00°. The asymmetric unit holds La at (0.000, 0.000, 0.500), Os at (0.500, 0.500, 0.500) and S at (0.000, 0.000, 0.000).

The magnetization is 0.00 μB/f.u. The calculation puts the uncorrected formation energy at -0.1 eV per formula unit.


(5)
Material: KLi3Si
Method: DFT, GGA-PBEsol
State: optimized geometry

It has space group Pm-3m (No. 221), with a = 4.992 Å, b = 4.992 Å, c = 4.992 Å, α = 90.00°, β = 90.00° and γ = 90.00°. The asymmetric unit holds K at (0.000, 0.000, 0.000), Li at (0.000, 0.500, 0.500) and Si at (0.500, 0.500, 0.500).

The magnetization is 0.00 μB/f.u. The calculation puts the uncorrected formation energy at -0.4 eV per formula unit.


(6)
Material: Cd2Rh
Method: DFT, GGA-PBEsol
State: optimized geometry

It has space group I4_1/amd (No. 141, origin choice 2), with a = 4.030 Å, b = 4.030 Å, c = 25.090 Å, α = 90.00°, β = 90.00° and γ = 90.00°. The asymmetric unit holds Cd at (0.000, 0.250, 0.124), Cd at (0.000, 0.250, 0.288) and Rh at (0.000, 0.250, 0.795).

The magnetization is 0.00 μB/f.u. For the formation energy, the calculation gives -0.077 eV per atom.